No. 1
This record from the Alexandria database describes a relaxed structure of LaTa2MnSe. The functional is PBE-GGA.

Results
The symmetry is P4/mmm (123). The density of states at the Fermi level comes out at 5.54 states/eV/cell.

a b c (Å): 4.5303 5.6448 4.5303
angles (deg): 90.00 90.00 90.00
Positions (direct):
Mn (0.0000, 0.0000, 0.0000)
La (0.5000, 0.5000, 0.5000)
Se (0.0000, 0.5000, 0.0000)
Ta (0.0000, 0.0000, 0.5000)
Ta (0.5000, 0.0000, 0.0000)

---

No. 2
This record from the Alexandria database describes a relaxed structure of La2TbMnSe5. The functional is PBE-GGA.

Results
The symmetry is Cmc2_1 (36). The density of states at the Fermi level comes out at 6.58 states/eV/cell.

a b c (Å): 4.1431 8.9985 12.6320
angles (deg): 90.00 90.00 103.31
Positions (direct):
La (0.8808, 0.7615, 0.8423)
La (0.1214, 0.2428, 0.6939)
La (0.1192, 0.2385, 0.3423)
La (0.8786, 0.7572, 0.1939)
Tb (0.8156, 0.6312, 0.5231)
Tb (0.1844, 0.3688, 0.0231)
Mn (0.5546, 0.1092, 0.9281)
Mn (0.4454, 0.8908, 0.4281)
Se (0.3476, 0.6953, 0.0168)
Se (0.6916, 0.3832, 0.8602)
Se (0.4959, 0.9918, 0.7534)
Se (0.3033, 0.6066, 0.6828)
Se (0.9812, 0.9624, 0.5234)
Se (0.6524, 0.3047, 0.5168)
Se (0.3084, 0.6168, 0.3602)
Se (0.5041, 0.0082, 0.2534)
Se (0.6967, 0.3934, 0.1828)
Se (0.0188, 0.0376, 0.0234)

---

No. 3
This record from the Alexandria database describes a relaxed structure of LaMnTlSe3. The functional is PBE-GGA.

Results
The symmetry is P2_1/m (11).

a b c (Å): 4.3780 9.2332 9.7962
angles (deg): 102.46 90.00 90.00
Positions (direct):
La (0.2500, 0.6628, 0.1539)
La (0.7500, 0.3372, 0.8461)
Mn (0.2500, 0.0828, 0.6044)
Mn (0.7500, 0.9172, 0.3956)
Tl (0.7500, 0.8103, 0.7921)
Tl (0.2500, 0.1897, 0.2079)
Se (0.2500, 0.8067, 0.4744)
Se (0.7500, 0.8853, 0.1377)
Se (0.7500, 0.4415, 0.1575)
Se (0.7500, 0.1933, 0.5256)
Se (0.2500, 0.5585, 0.8425)
Se (0.2500, 0.1147, 0.8623)

---

No. 4
This record from the Alexandria database describes a relaxed structure of LaMnTl2Se4. The functional is PBE-GGA.

Results
The symmetry is Imma (74). The density of states at the Fermi level comes out at 8.69 states/eV/cell.

a b c (Å): 8.5981 8.5985 8.8961
angles (deg): 121.16 121.15 89.63
Positions (direct):
La (0.0000, 0.5000, 0.0000)
La (0.0000, 0.5000, 0.5000)
Mn (0.5000, 0.5000, 0.5000)
Mn (0.0000, 0.0000, 0.0000)
Tl (0.5000, 0.0000, 0.9999)
Tl (0.5000, 0.0000, 0.4999)
Tl (0.0000, 0.0000, 0.5000)
Tl (0.5000, 0.5000, 0.9999)
Se (0.2121, 0.7606, 0.9863)
Se (0.7395, 0.2879, 0.5136)
Se (0.2605, 0.7122, 0.4863)
Se (0.7879, 0.2394, 0.0136)
Se (0.7533, 0.7459, 0.9484)
Se (0.7540, 0.7465, 0.5518)
Se (0.2460, 0.2535, 0.4484)
Se (0.2467, 0.2541, 0.0518)

---

No. 5
This record from the Alexandria database describes a relaxed structure of La3MnTl4Se8. The functional is PBE-GGA.

Results
The symmetry is R-3m (166). The density of states at the Fermi level comes out at 5.41 states/eV/cell.

a b c (Å): 8.6049 9.0962 8.6066
angles (deg): 118.24 119.99 90.00
Positions (direct):
La (0.5000, 0.5000, 0.0000)
La (0.5000, 0.5000, 0.5000)
La (0.0000, 0.5000, 0.5000)
Mn (0.0000, 0.5000, 0.0000)
Tl (0.5000, 0.0000, 0.0000)
Tl (0.5000, 0.0000, 0.5000)
Tl (0.0000, 0.0000, 0.0000)
Tl (0.0000, 0.0000, 0.5000)
Se (0.2216, 0.7039, 0.9823)
Se (0.2219, 0.7042, 0.4439)
Se (0.2609, 0.2828, 0.5219)
Se (0.7607, 0.7039, 0.9823)
Se (0.2393, 0.2961, 0.0177)
Se (0.7391, 0.7172, 0.4781)
Se (0.7781, 0.2958, 0.5561)
Se (0.7784, 0.2961, 0.0177)

---

No. 6
This record from the Alexandria database describes a relaxed structure of La2TmMnSe5. The functional is PBE-GGA.

Results
The symmetry is Cmc2_1 (36). The density of states at the Fermi level comes out at 6.08 states/eV/cell.

a b c (Å): 4.1256 8.9489 12.5901
angles (deg): 90.00 90.00 103.33
Positions (direct):
La (0.8807, 0.7613, 0.8408)
La (0.1216, 0.2432, 0.6942)
La (0.1193, 0.2387, 0.3408)
La (0.8784, 0.7568, 0.1942)
Tm (0.8142, 0.6283, 0.5222)
Tm (0.1858, 0.3717, 0.0222)
Mn (0.5560, 0.1121, 0.9293)
Mn (0.4440, 0.8879, 0.4293)
Se (0.3474, 0.6949, 0.0163)
Se (0.6938, 0.3875, 0.8622)
Se (0.4964, 0.9927, 0.7545)
Se (0.3032, 0.6064, 0.6782)
Se (0.9780, 0.9560, 0.5264)
Se (0.6526, 0.3051, 0.5163)
Se (0.3062, 0.6125, 0.3622)
Se (0.5036, 0.0073, 0.2545)
Se (0.6968, 0.3936, 0.1782)
Se (0.0220, 0.0440, 0.0264)

---

No. 7
This record from the Alexandria database describes a relaxed structure of LaZrMn2Se. The functional is PBE-GGA.

Results
The symmetry is P4/mmm (123). The density of states at the Fermi level comes out at 4.45 states/eV/cell.

a b c (Å): 4.5676 5.4672 4.5676
angles (deg): 90.00 90.00 90.00
Positions (direct):
Mn (0.0000, 0.0000, 0.5000)
Mn (0.5000, 0.0000, 0.0000)
Se (0.5000, 0.5000, 0.5000)
Zr (0.0000, 0.5000, 0.0000)
La (0.0000, 0.0000, 0.0000)

---

No. 8
This record from the Alexandria database describes a relaxed structure of La2MnSi4. The functional is PBE-GGA.

Results
The symmetry is I4/mmm (139). The density of states at the Fermi level comes out at 6.33 states/eV/cell.

a b c (Å): 4.4449 4.4449 8.2131
angles (deg): 74.30 74.30 90.00
Positions (direct):
Si (0.8442, 0.8442, 0.3116)
Si (0.1558, 0.1558, 0.6884)
Si (0.0000, 0.5000, 0.0000)
Si (0.5000, 0.0000, 0.0000)
Mn (0.0000, 0.0000, 0.0000)
La (0.6481, 0.6481, 0.7038)
La (0.3519, 0.3519, 0.2962)

---

No. 9
This record from the Alexandria database describes a relaxed structure of LaMn2Si. The functional is PBE-GGA.

Results
The symmetry is C2/m (12). The density of states at the Fermi level comes out at 3.89 states/eV/cell.

a b c (Å): 5.2170 5.3527 3.1497
angles (deg): 73.82 88.16 118.55
Positions (direct):
La (0.5000, 0.5000, 0.0000)
Mn (0.0000, 0.0000, 0.0000)
Mn (0.5000, 0.0000, 0.5000)
Si (0.0000, 0.5000, 0.5000)

---

No. 10
This record from the Alexandria database describes a relaxed structure of La2MnSi. The functional is PBE-GGA.

Results
The symmetry is P4/mmm (123). The density of states at the Fermi level comes out at 3.94 states/eV/cell.

a b c (Å): 4.8991 4.8988 4.1437
angles (deg): 90.00 90.00 90.00
Positions (direct):
La (0.0000, 0.0000, 0.0000)
La (0.5000, 0.5000, 0.0000)
Mn (0.5000, 0.0000, 0.5000)
Si (0.0000, 0.5000, 0.5000)

---

No. 11
This record from the Alexandria database describes a relaxed structure of LaMn2Si2. The functional is PBE-GGA.

Results
The symmetry is I4/mmm (139). The density of states at the Fermi level comes out at 3.66 states/eV/cell.

a b c (Å): 4.0109 4.0109 6.0281
angles (deg): 70.57 70.57 90.00
Positions (direct):
Si (0.3717, 0.3717, 0.2566)
Si (0.6283, 0.6283, 0.7434)
Mn (0.7500, 0.2500, 0.5000)
Mn (0.2500, 0.7500, 0.5000)
La (0.0000, 0.0000, 0.0000)

---

No. 12
This record from the Alexandria database describes a relaxed structure of LaMn4Si2. The functional is PBE-GGA.

Results
The symmetry is Cmmm (65). The density of states at the Fermi level comes out at 4.82 states/eV/cell.

a b c (Å): 3.9581 3.9328 6.9707
angles (deg): 90.00 106.49 90.00
Positions (direct):
La (0.0000, 0.0000, 0.0000)
Mn (0.2034, 0.5000, 0.4068)
Mn (0.2968, 0.0000, 0.5936)
Mn (0.7966, 0.5000, 0.5932)
Mn (0.7032, 0.0000, 0.4064)
Si (0.3992, 0.5000, 0.7984)
Si (0.6008, 0.5000, 0.2016)

---

No. 13
This record from the Alexandria database describes a relaxed structure of LaMn2Si. The functional is PBE-GGA.

Results
The symmetry is P4mm (99). The density of states at the Fermi level comes out at 4.42 states/eV/cell.

a b c (Å): 2.9853 2.9853 7.1560
angles (deg): 90.00 90.00 90.00
Positions (direct):
La (0.5000, 0.5000, 0.7547)
Mn (0.0000, 0.0000, 0.0755)
Mn (0.5000, 0.5000, 0.2432)
Si (0.0000, 0.0000, 0.4266)

---

No. 14
This record from the Alexandria database describes a relaxed structure of La2MnSi. The functional is PBE-GGA.

Results
The symmetry is P4/mmm (123). The density of states at the Fermi level comes out at 3.31 states/eV/cell.

a b c (Å): 3.9247 3.9247 6.6752
angles (deg): 90.00 90.00 90.02
Positions (direct):
La (0.0000, 0.0000, 0.9800)
La (0.0000, 0.0000, 0.5200)
Mn (0.5000, 0.5000, 0.2500)
Si (0.5000, 0.5000, 0.7500)

---

No. 15
This record from the Alexandria database describes a relaxed structure of LaMn2Si. The functional is PBE-GGA.

Results
The symmetry is P4/mmm (123). The density of states at the Fermi level comes out at 4.16 states/eV/cell.

a b c (Å): 3.1950 3.1950 6.7008
angles (deg): 90.00 90.00 90.00
Positions (direct):
La (0.5000, 0.5000, 0.7500)
Mn (0.0000, 0.0000, 0.0752)
Mn (0.0000, 0.0000, 0.4248)
Si (0.5000, 0.5000, 0.2500)

---

No. 16
This record from the Alexandria database describes a relaxed structure of LaMn9Si4. The functional is PBE-GGA.

Results
The symmetry is I4/mcm (140). The density of states at the Fermi level comes out at 23.07 states/eV/cell.

a b c (Å): 7.8955 7.8955 8.0858
angles (deg): 119.22 119.22 90.00
Positions (direct):
La (0.7500, 0.7500, 0.5000)
La (0.2500, 0.2500, 0.5000)
Mn (0.0575, 0.1914, 0.0000)
Mn (0.9425, 0.8086, 0.0000)
Mn (0.5575, 0.3086, 0.0000)
Mn (0.4425, 0.6914, 0.0000)
Mn (0.3086, 0.4425, 0.0000)
Mn (0.6914, 0.5575, 0.0000)
Mn (0.1914, 0.9425, 0.0000)
Mn (0.8086, 0.0575, 0.0000)
Mn (0.0000, 0.5000, 0.0000)
Mn (0.5000, 0.0000, 0.0000)
Mn (0.7941, 0.2941, 0.3518)
Mn (0.5577, 0.0577, 0.3518)
Mn (0.9423, 0.2059, 0.6482)
Mn (0.7059, 0.4423, 0.6482)
Mn (0.2059, 0.7059, 0.6482)
Mn (0.4423, 0.9423, 0.6482)
Mn (0.2941, 0.5577, 0.3518)
Mn (0.0577, 0.7941, 0.3518)
Si (0.2972, 0.7972, 0.2417)
Si (0.9445, 0.4445, 0.2417)
Si (0.5555, 0.7028, 0.7583)
Si (0.2028, 0.0555, 0.7583)
Si (0.7028, 0.2028, 0.7583)
Si (0.0555, 0.5555, 0.7583)
Si (0.7972, 0.9445, 0.2417)
Si (0.4445, 0.2972, 0.2417)

---

No. 17
This record from the Alexandria database describes a relaxed structure of LaMn3Si. The functional is PBE-GGA.

Results
The symmetry is Pm-3m (221). The density of states at the Fermi level comes out at 5.54 states/eV/cell.

a b c (Å): 4.6114 4.6114 4.6114
angles (deg): 90.00 90.00 90.00
Positions (direct):
Si (0.0000, 0.0000, 0.0000)
Mn (0.0000, 0.5000, 0.0000)
Mn (0.0000, 0.0000, 0.5000)
Mn (0.5000, 0.0000, 0.0000)
La (0.5000, 0.5000, 0.5000)

---

No. 18
This record from the Alexandria database describes a relaxed structure of La3Mn4Si4. The functional is PBE-GGA.

Results
The symmetry is I-43m (217). The density of states at the Fermi level comes out at 8.49 states/eV/cell.

a b c (Å): 6.4539 6.4539 6.4539
angles (deg): 109.47 109.47 109.47
Positions (direct):
La (0.5000, 0.5000, 0.0000)
La (0.5000, 0.0000, 0.5000)
La (0.0000, 0.5000, 0.5000)
Mn (0.0000, 0.2381, 0.0000)
Mn (0.0000, 0.0000, 0.2381)
Mn (0.2381, 0.0000, 0.0000)
Mn (0.7619, 0.7619, 0.7619)
Si (0.0000, 0.6101, 0.0000)
Si (0.6101, 0.0000, 0.0000)
Si (0.0000, 0.0000, 0.6101)
Si (0.3899, 0.3899, 0.3899)

---

No. 19
This record from the Alexandria database describes a relaxed structure of La2MnSi. The functional is PBE-GGA.

Results
The symmetry is Imm2 (44). The density of states at the Fermi level comes out at 4.03 states/eV/cell.

a b c (Å): 6.0899 6.0899 6.0899
angles (deg): 142.28 134.57 60.47
Positions (direct):
La (0.9847, 0.9847, 0.0000)
La (0.2691, 0.7691, 0.5000)
Mn (0.5505, 0.5505, 0.0000)
Si (0.6957, 0.1957, 0.5000)

---

No. 20
This record from the Alexandria database describes a relaxed structure of LaMn2Si. The functional is PBE-GGA.

Results
The symmetry is I-4m2 (119). The density of states at the Fermi level comes out at 3.12 states/eV/cell.

a b c (Å): 5.0308 5.0308 5.0308
angles (deg): 127.94 127.94 76.72
Positions (direct):
La (0.7500, 0.2500, 0.5000)
Mn (0.0000, 0.0000, 0.0000)
Mn (0.2500, 0.7500, 0.5000)
Si (0.5000, 0.5000, 0.0000)

---

No. 21
This record from the Alexandria database describes a relaxed structure of La4MnSi. The functional is PBE-GGA.

Results
The symmetry is F-43m (216). The density of states at the Fermi level comes out at 8.19 states/eV/cell.

a b c (Å): 6.3559 6.3559 6.3559
angles (deg): 60.00 60.00 60.00
Positions (direct):
La (0.8779, 0.3740, 0.3740)
La (0.3740, 0.3740, 0.8779)
La (0.3740, 0.8779, 0.3740)
La (0.3740, 0.3740, 0.3740)
Mn (0.7500, 0.7500, 0.7500)
Si (0.0000, 0.0000, 0.0000)

---

No. 22
This record from the Alexandria database describes a relaxed structure of LaMn2Si. The functional is PBE-GGA.

Results
The symmetry is I4_1/amd (141). The density of states at the Fermi level comes out at 9.78 states/eV/cell.

a b c (Å): 4.4645 4.4645 8.9240
angles (deg): 75.51 75.51 90.00
Positions (direct):
Si (0.5000, 0.5000, 0.0000)
Si (0.2500, 0.7500, 0.5000)
Mn (0.3750, 0.1250, 0.2500)
Mn (0.3750, 0.6250, 0.2500)
Mn (0.3750, 0.6250, 0.7500)
Mn (0.8750, 0.6250, 0.7500)
La (0.0000, 0.0000, 0.0000)
La (0.7500, 0.2500, 0.5000)

---

No. 23
This record from the Alexandria database describes a relaxed structure of La2MnSi. The functional is PBE-GGA.

Results
The symmetry is R3m (160). The density of states at the Fermi level comes out at 5.80 states/eV/cell.

a b c (Å): 7.9834 7.9834 7.9834
angles (deg): 30.07 30.07 30.07
Positions (direct):
La (0.0399, 0.0399, 0.0399)
La (0.2101, 0.2101, 0.2101)
Mn (0.4577, 0.4577, 0.4577)
Si (0.7923, 0.7923, 0.7923)

---

No. 24
This record from the Alexandria database describes a relaxed structure of LaMn4Si. The functional is PBE-GGA.

Results
The symmetry is F-43m (216). The density of states at the Fermi level comes out at 8.93 states/eV/cell.

a b c (Å): 5.0727 5.0727 5.0727
angles (deg): 60.00 60.00 60.00
Positions (direct):
La (0.0000, 0.0000, 0.0000)
Mn (0.8681, 0.3773, 0.3773)
Mn (0.3773, 0.3773, 0.8681)
Mn (0.3773, 0.8681, 0.3773)
Mn (0.3773, 0.3773, 0.3773)
Si (0.7500, 0.7500, 0.7500)

---

no.,uncorrected formation energy (meV per atom)
1,511
2,-1652
3,-1076
4,-837
5,-1136
6,-1644
7,1396
8,-341
9,389
10,-106
11,-541
12,-407
13,51
14,-95
15,82
16,-379
17,264
18,-475
19,-220
20,234
21,606
22,143
23,-271
24,293